[1]
# NbBr3, relaxed, DFT PBE
data_NbBr3
_space_group_name_H-M_alt 'I -4 2 d'
_space_group_IT_number 122
_space_group_name_Hall 'I -4 2bw'
_cell_length_a 9.459
_cell_length_b 9.459
_cell_length_c 5.383
_cell_angle_alpha 90.00
_cell_angle_beta 90.00
_cell_angle_gamma 90.00
loop_
_atom_site_label
_atom_site_fract_x
_atom_site_fract_y
_atom_site_fract_z
_atom_site_occupancy
Nb1 0.000 0.000 0.000 1
Br1 0.000 0.000 0.500 1
Br2 0.112 0.750 0.125 1
# calculated total energy = -4.26 eV/atom
# crystal system = tetragonal
# formation energy (no corrections) = -0.487 eV per atom

[2]
# LiFeS2, relaxed, DFT PBE
data_LiFeS2
_space_group_name_H-M_alt 'R -3 m'
_space_group_IT_number 166
_space_group_name_Hall '-R 3 2"'
_cell_length_a 2.9299
_cell_length_b 2.9299
_cell_length_c 23.2989
_cell_angle_alpha 90.00
_cell_angle_beta 90.00
_cell_angle_gamma 120.00
loop_
_atom_site_label
_atom_site_fract_x
_atom_site_fract_y
_atom_site_fract_z
_atom_site_occupancy
Li1 0.0000 0.0000 0.0000 1
Fe1 0.0000 0.0000 0.5000 1
S1 0.0000 0.0000 0.4101 1
# calculated total energy = -4.60 eV/atom
# crystal system = trigonal
# formation energy (no corrections) = 0.053 eV per atom

[3]
# Cr2IrOs2, relaxed, DFT PBE
data_Cr2IrOs2
_space_group_name_H-M_alt 'P 4/m b m'
_space_group_IT_number 127
_space_group_name_Hall '-P 4 2ab'
_cell_length_a 7.099
_cell_length_b 7.099
_cell_length_c 2.756
_cell_angle_alpha 90.00
_cell_angle_beta 90.00
_cell_angle_gamma 90.00
loop_
_atom_site_label
_atom_site_fract_x
_atom_site_fract_y
_atom_site_fract_z
_atom_site_occupancy
Cr1 0.168 0.332 0.000 1
Ir1 0.000 0.000 0.500 1
Os1 0.131 0.631 0.500 1
# calculated total energy = -9.91 eV/atom
# DFT formation energy = 1.01 eV per formula unit
# crystal system = tetragonal
# distance to the lowest polymorph of the same formula = 0 meV/atom

[4]
# TaI3, relaxed, DFT PBE
data_TaI3
_space_group_name_H-M_alt 'I -4 2 d'
_space_group_IT_number 122
_space_group_name_Hall 'I -4 2bw'
_cell_length_a 9.970
_cell_length_b 9.970
_cell_length_c 5.911
_cell_angle_alpha 90.00
_cell_angle_beta 90.00
_cell_angle_gamma 90.00
loop_
_atom_site_label
_atom_site_fract_x
_atom_site_fract_y
_atom_site_fract_z
_atom_site_occupancy
Ta1 0.000 0.000 0.000 1
I1 0.000 0.000 0.500 1
I2 0.117 0.250 0.125 1
# calculated total energy = -4.01 eV/atom
# crystal system = tetragonal
# formation energy (no corrections) = 0.119 eV per atom